[1]
Entry from Alexandria: a relaxed structure of KZnGa2Os (PBE).

Output
DFT total energy = -20.254 eV for the cell shown

Geometry as extended XYZ:
```
5
Lattice="4.8548 0.0000 0.0000 0.0000 4.8548 0.0000 0.0000 0.0000 4.9991" Properties=species:S:1:pos:R:3 pbc="T T T"
K 0.0000 0.0000 0.0000
Zn 2.4274 2.4274 0.0000
Ga 0.0000 2.4274 2.4996
Ga 2.4274 0.0000 2.4996
Os 2.4274 2.4274 2.4996
```

=====

[2]
Entry from Alexandria: a relaxed structure of KGa2P2 (PBE).

Output
DFT total energy = -36.278 eV for the cell shown
energy above the lowest structure with this stoichiometry = 286 meV per atom

Geometry as extended XYZ:
```
10
Lattice="8.2426 0.0000 0.0000 0.0000 8.2426 0.0000 0.0000 0.0000 3.5970" Properties=species:S:1:pos:R:3 pbc="T T T"
K 0.0000 0.0000 0.0000
K 4.1213 4.1213 0.0000
Ga 1.1330 2.9883 1.7985
Ga 2.9883 7.1096 1.7985
Ga 5.2542 1.1330 1.7985
Ga 7.1096 5.2542 1.7985
P 0.8052 4.9265 0.0000
P 3.3161 0.8052 0.0000
P 4.9265 7.4374 0.0000
P 7.4374 3.3161 0.0000
```

=====

[3]
Entry from Alexandria: a relaxed structure of KGa2P2 (PBE).

Output
DFT total energy = -39.142 eV for the cell shown
energy above the lowest structure with this stoichiometry = 0 meV per atom

Geometry as extended XYZ:
```
10
Lattice="4.2744 0.0000 0.0000 0.0000 4.2744 0.0000 0.0000 0.0000 13.4998" Properties=species:S:1:pos:R:3 pbc="T T T"
K 0.0000 0.0000 0.0000
K 2.1372 2.1372 6.7499
Ga 0.0000 2.1372 3.3749
Ga 0.0000 2.1372 10.1248
Ga 2.1372 0.0000 3.3749
Ga 2.1372 0.0000 10.1248
P 0.0000 0.0000 4.6793
P 0.0000 0.0000 8.8205
P 2.1372 2.1372 2.0706
P 2.1372 2.1372 11.4291
```

=====

[4]
Entry from Alexandria: a relaxed structure of KGa2P (PBE).

Output
DFT total energy = -37.447 eV for the cell shown

Geometry as extended XYZ:
```
12
Lattice="3.8506 0.0000 0.0000 -1.9253 3.3348 0.0000 0.0000 0.0000 27.9984" Properties=species:S:1:pos:R:3 pbc="T T T"
K 0.0000 0.0000 0.0000
K 0.0000 2.2232 18.6656
K 1.9253 1.1116 9.3328
Ga 0.0000 0.0000 3.3429
Ga 0.0000 0.0000 24.6554
Ga 0.0000 2.2232 15.3226
Ga 0.0000 2.2232 22.0085
Ga 1.9253 1.1116 5.9899
Ga 1.9253 1.1116 12.6757
P 0.0000 0.0000 13.9992
P 0.0000 2.2232 4.6664
P 1.9253 1.1116 23.3320
```

=====

| no. | calculated formation energy (eV per atom) |
| --- | --- |
| 1 | -0.120 |
| 2 | -0.034 |
| 3 | -0.320 |
| 4 | 0.020 |